(1)
Below is a relaxed structure of Pm2Pd3Au3, with properties calculated at the PBE level.

a = 4.277 Å, b = 4.347 Å, c = 8.515 Å
α = 90.00°, β = 90.00°, γ = 90.00°
Element x y z (fractional)
Pm 0.000 0.000 0.246
Pm 0.000 0.000 0.754
Pd 0.500 0.000 0.000
Pd 0.500 0.500 0.246
Pd 0.500 0.500 0.754
Au 0.000 0.500 0.000
Au 0.000 0.500 0.500
Au 0.500 0.000 0.500

Results
Distance to the lowest polymorph of the same formula   25 meV/atom
SG   Pmmm (47)
Energy relative to the elements   -0.65 eV per atom



(2)
Below is a relaxed structure of Pm4Pd2Au5, with properties calculated at the PBE level.

a = 7.597 Å, b = 3.816 Å, c = 8.892 Å
α = 90.00°, β = 93.03°, γ = 90.00°
Element x y z (fractional)
Pm 0.208 0.000 0.364
Pm 0.249 0.000 0.907
Pm 0.751 0.000 0.093
Pm 0.792 0.000 0.636
Pd 0.076 0.500 0.138
Pd 0.924 0.500 0.862
Au 0.150 0.500 0.629
Au 0.443 0.500 0.162
Au 0.500 0.500 0.500
Au 0.557 0.500 0.838
Au 0.850 0.500 0.371

Results
SG   P2/m (10)
Energy relative to the elements   -0.78 eV per atom



(3)
Below is a relaxed structure of Pm2PdAu, with properties calculated at the PBE level.

a = 5.811 Å, b = 4.730 Å, c = 7.774 Å
α = 90.00°, β = 109.71°, γ = 90.00°
Element x y z (fractional)
Pm 0.221 0.250 0.433
Pm 0.229 0.250 0.929
Pm 0.771 0.750 0.071
Pm 0.779 0.750 0.567
Pd 0.331 0.750 0.707
Pd 0.669 0.250 0.293
Au 0.329 0.750 0.208
Au 0.671 0.250 0.792

Results
SG   P2_1/m (11)
Energy relative to the elements   -0.83 eV per atom



(4)
Below is a relaxed structure of Pm2Pd5Au2, with properties calculated at the PBE level.

a = 10.155 Å, b = 10.155 Å, c = 10.155 Å
α = 128.80°, β = 58.70°, γ = 153.24°
Element x y z (fractional)
Pm 0.384 0.000 0.884
Pm 0.384 0.500 0.384
Pm 0.616 0.000 0.116
Pm 0.616 0.500 0.616
Pd 0.085 0.735 0.350
Pd 0.115 0.265 0.850
Pd 0.201 0.000 0.701
Pd 0.201 0.500 0.201
Pd 0.478 0.228 0.250
Pd 0.522 0.772 0.750
Pd 0.799 0.000 0.299
Pd 0.799 0.500 0.799
Pd 0.885 0.735 0.150
Pd 0.915 0.265 0.650
Au 0.000 0.000 0.500
Au 0.000 0.500 0.000
Au 0.000 0.500 0.500
Au 0.500 0.500 0.000

Results
SG   Imma (74)
Energy relative to the elements   -0.57 eV per atom



(5)
Below is a relaxed structure of Pm4Pd5Au2, with properties calculated at the PBE level.

a = 7.383 Å, b = 3.915 Å, c = 8.550 Å
α = 90.00°, β = 91.70°, γ = 90.00°
Element x y z (fractional)
Pm 0.243 0.000 0.117
Pm 0.257 0.000 0.617
Pm 0.743 0.000 0.383
Pm 0.757 0.000 0.883
Pd 0.000 0.500 0.500
Pd 0.031 0.500 0.830
Pd 0.353 0.500 0.377
Pd 0.647 0.500 0.623
Pd 0.969 0.500 0.170
Au 0.403 0.500 0.861
Au 0.597 0.500 0.139

Results
SG   P2/m (10)
Energy relative to the elements   -0.81 eV per atom



(6)
Below is a relaxed structure of Pm3Pd8Au2, with properties calculated at the PBE level.

a = 10.956 Å, b = 10.956 Å, c = 10.956 Å
α = 28.31°, β = 28.31°, γ = 28.31°
Element x y z (fractional)
Pm 0.000 0.000 0.000
Pm 0.189 0.189 0.189
Pm 0.811 0.811 0.811
Pd 0.230 0.734 0.734
Pd 0.266 0.266 0.770
Pd 0.266 0.770 0.266
Pd 0.278 0.278 0.278
Pd 0.722 0.722 0.722
Pd 0.734 0.230 0.734
Pd 0.734 0.734 0.230
Pd 0.770 0.266 0.266
Au 0.361 0.361 0.361
Au 0.639 0.639 0.639

Results
SG   R-3m (166)
Energy relative to the elements   -0.50 eV per atom